[1]
LaMo3 | PBE-GGA | optimized geometry

Cell: 4.701 4.701 4.701 Å, 60.00 60.00 60.00°
Fractional coordinates of all 4 atoms:
La  0.000  0.000  0.000
Mo  0.750  0.750  0.750
Mo  0.250  0.250  0.250
Mo  0.500  0.500  0.500

Output
Uncorrected energy = -8.8384 eV/atom
Energy above the most stable polymorph in this dataset = 12.3 kJ per mole of atoms
Density = 9.65 g/cm³


[2]
LaMo5 | PBE-GGA | optimized geometry

Cell: 7.263 7.263 4.650 Å, 90.00 90.00 154.28°
Fractional coordinates of all 6 atoms:
Mo  0.706  0.294  0.000
Mo  0.350  0.650  0.000
La  0.028  0.972  0.000
Mo  0.853  0.147  0.500
Mo  0.528  0.472  0.500
Mo  0.202  0.798  0.500

Output
Uncorrected energy = -9.4462 eV/atom
Energy above the most stable polymorph in this dataset = 6.6 kJ per mole of atoms
Density = 9.65 g/cm³


[3]
La4Mo5 | PBE-GGA | optimized geometry

Cell: 7.769 7.769 7.769 Å, 92.82 92.82 154.35°
Fractional coordinates of all 9 atoms:
La  0.692  0.000  0.692
Mo  0.353  0.647  0.000
Mo  0.647  0.353  0.000
Mo  0.353  0.353  0.705
Mo  0.647  0.647  0.295
La  0.000  0.308  0.308
La  0.308  0.000  0.308
La  0.000  0.692  0.692
Mo  0.000  0.000  0.000

Output
Uncorrected energy = -7.6166 eV/atom
Energy above the most stable polymorph in this dataset = 0.0 kJ per mole of atoms
Density = 8.69 g/cm³


[4]
La2Mo | PBE-GGA | optimized geometry

Cell: 6.139 6.139 6.139 Å, 103.40 103.40 122.45°
Fractional coordinates of all 6 atoms:
Mo  0.750  0.750  0.000
La  0.822  0.322  0.143
La  0.322  0.178  0.500
La  0.178  0.678  0.857
Mo  0.250  0.250  0.000
La  0.678  0.822  0.500

Output
Uncorrected energy = -6.5371 eV/atom
Energy above the most stable polymorph in this dataset = 12.6 kJ per mole of atoms
Density = 7.25 g/cm³


[5]
LaMo3 | PBE-GGA | optimized geometry

Cell: 2.894 2.894 9.659 Å, 90.00 90.00 112.10°
Fractional coordinates of all 4 atoms:
Mo  0.500  0.500  0.284
La  0.000  0.000  0.000
Mo  0.000  0.000  0.500
Mo  0.500  0.500  0.716

Output
Uncorrected energy = -8.9500 eV/atom
Energy above the most stable polymorph in this dataset = 1.5 kJ per mole of atoms
Density = 9.45 g/cm³


[6]
LaMo3 | PBE-GGA | optimized geometry

Cell: 2.993 5.424 5.424 Å, 116.70 79.40 79.40°
Fractional coordinates of all 4 atoms:
Mo  0.500  0.000  0.500
Mo  0.000  0.500  0.500
La  0.000  0.000  0.000
Mo  0.500  0.500  0.000

Output
Uncorrected energy = -8.7561 eV/atom
Energy above the most stable polymorph in this dataset = 20.2 kJ per mole of atoms
Density = 9.62 g/cm³